# AlCuSb2I

A geometry-optimized AlCuSb2I structure (PBEsol, Alexandria via LeMat-Bulk).

Summary:
ΔE_f (raw) ... 0.85 eV/atom
Spin magnetization ... 0.002 μB/f.u.
E_tot ... -3.0158 eV per atom
Polymorph energy (0 for the lowest one) ... 300.8 meV per atom

Lattice parameters (Å, degrees): 5.2141 5.2141 5.3462 90.00 90.00 90.00
With the nearest neighbours (Å) after each atom.
Space group P4/mmm (No. 123)
Unique sites:
1 Al 0.0000 0.0000 0.0000 [1 per cell]  4 Sb 2.61, 2 I 2.67
2 Cu 0.5000 0.5000 0.5000 [1 per cell]  4 I 3.69, 8 Sb 3.73
3 Sb 0.0000 0.5000 0.0000 [2 per cell]  2 Al 2.61
4 I 0.0000 0.0000 0.5000 [1 per cell]  2 Al 2.67